The following is a DFT calculation (PBE) of crystalline Ba2AlZn4In3 at its relaxed geometry.

Results
The formation energy from the elements is -0.27 eV per atom. The calculation puts the calculated volume at 25.5 Å³ per atom. The calculated total energy is -2.356 eV/atom.

Cell and atoms, written as POSCAR:
```
Ba2AlZn4In3
1.0
4.708 0.000 0.000
0.000 4.708 0.000
0.000 0.000 11.511
In Zn Ba Al
3 4 2 1
Cartesian
2.354 0.000 10.026
0.000 2.354 1.485
0.000 0.000 5.756
2.354 0.000 7.233
0.000 2.354 4.278
0.000 0.000 0.000
2.354 2.354 0.000
2.354 0.000 2.873
0.000 2.354 8.638
2.354 2.354 5.756
```

---

The following is a DFT calculation (PBE) of crystalline CaDyZnPd at its relaxed geometry.

Results
The formation energy from the elements is -0.51 eV per atom. The value obtained for the energy above the lowest structure with this stoichiometry is 45 meV per atom. The calculation puts the calculated volume at 22.4 Å³ per atom. The calculated total energy is -3.780 eV/atom.

Cell and atoms, written as POSCAR:
```
CaDyZnPd
1.0
-1.188 2.090 4.408
-0.482 -2.870 4.091
3.425 0.253 3.662
Ca Pd Dy Zn
1 1 1 1
Cartesian
0.439 -0.132 3.040
0.877 -0.263 6.081
1.316 -0.395 9.121
0.000 0.000 0.000
```

---

The following is a DFT calculation (PBE) of crystalline SrYB at its relaxed geometry.

Results
The formation energy from the elements is 0.12 eV per atom. The value obtained for the energy above the lowest structure with this stoichiometry is 138 meV per atom. The calculation puts the calculated volume at 28.9 Å³ per atom. The calculated total energy is -4.818 eV/atom.

Cell and atoms, written as POSCAR:
```
SrYB
1.0
-0.180 -1.924 -3.097
7.650 -1.181 0.289
2.904 -4.740 4.928
B Sr Y
2 2 2
Cartesian
8.490 -2.824 1.530
0.928 -2.202 -2.720
4.587 -4.058 2.524
3.035 -2.086 -0.763
8.364 -5.440 1.012
6.964 -2.677 -0.625
```